Density functional theory data (GGA-PBE) for a relaxed structure of Ac6Te5S.

Calculated values
* E_form (uncorrected): -18.76 eV/f.u.

```
Ac6Te5S
1.0
-2.955 -1.968 -7.241
6.114 -1.607 -5.064
2.867 -7.534 -0.626
Ac Te S
6 5 1
Cartesian
2.058 -7.337 -7.957 Ac
6.952 -7.141 -6.779 Ac
-0.927 -3.968 -6.152 Ac
3.967 -3.772 -4.974 Ac
2.478 -2.734 -9.406 Ac
0.680 -0.840 -2.899 Ac
1.457 -6.130 -4.923 Te
4.569 -4.979 -8.008 Te
2.995 -3.011 -1.907 Te
5.986 -6.130 -3.783 Te
1.579 -1.787 -6.153 Te
0.000 0.000 0.000 S
```